Density functional theory data (PBEsol) for an optimized crystal structure of CdAs2SeS.

POSCAR file:
```
CdAs2SeS
1.0
4.7355 0.0000 0.0000
0.0000 4.7355 0.0000
0.0000 0.0000 4.9067
Cd As Se S
1 2 1 1
direct
0.0000 0.0000 0.0000
0.0000 0.5000 0.5000
0.5000 0.0000 0.5000
0.5000 0.5000 0.0000
0.5000 0.5000 0.5000
```

Computed properties:
Its space group is No. 123. The value obtained for the formation energy (no corrections) is 0.57 eV/atom. The total moment is 0.000 μB/atom. As for the crystal system: tetragonal.